A plane-wave DFT calculation with PBE-GGA was carried out for a relaxed structure of NaY3N.

abc: 5.3967 5.3967 5.3967
angles: 90.00 90.00 90.00
With the nearest neighbours (Å) after each atom.
Space group Pm-3m (No. 221)
Symmetry-distinct sites (fractional):
1 Na 0.0000 0.0000 0.0000 (multiplicity 1)  6 Y 2.70
2 Y 0.0000 0.0000 0.5000 (multiplicity 3)  2 Na 2.70
3 N 0.5000 0.5000 0.5000 (multiplicity 1)  12 Y 3.82

Calculated values
DOS at the Fermi energy   1.516 states/eV per atom
Energy relative to the lowest polymorph listed for this composition   2268.2 meV/atom
Formation energy (no corrections)   1.853 eV per atom
Raw total energy   -3.954 eV/atom

=====

A plane-wave DFT calculation with PBE-GGA was carried out for a relaxed structure of Na3ZnN.

abc: 4.7800 4.7800 4.7800
angles: 90.00 90.00 90.00
With the nearest neighbours (Å) after each atom.
Space group Pm-3m (No. 221)
Symmetry-distinct sites (fractional):
1 Na 0.0000 0.0000 0.5000 (multiplicity 3)  2 N 2.39
2 Zn 0.5000 0.5000 0.5000 (multiplicity 1)  12 Na 3.38
3 N 0.0000 0.0000 0.0000 (multiplicity 1)  6 Na 2.39

Calculated values
DOS at the Fermi energy   0.064 states/eV per atom
Energy relative to the lowest polymorph listed for this composition   0.0 meV/atom
Formation energy (no corrections)   0.291 eV per atom
Raw total energy   -2.421 eV/atom

=====

A plane-wave DFT calculation with PBE-GGA was carried out for a relaxed structure of Na2ZnN.

abc: 6.3903 6.3903 6.3903
angles: 90.00 90.00 90.00
With the nearest neighbours (Å) after each atom.
Space group Fm-3m (No. 225)
Symmetry-distinct sites (fractional):
1 Na 0.2500 0.2500 0.2500 (multiplicity 8)  4 Zn 2.77, 4 N 2.77
2 Zn 0.0000 0.0000 0.0000 (multiplicity 4)  8 Na 2.77
3 N 0.0000 0.0000 0.5000 (multiplicity 4)  8 Na 2.77

Calculated values
DOS at the Fermi energy   0.620 states/eV per atom
Energy relative to the lowest polymorph listed for this composition   597.3 meV/atom
Formation energy (no corrections)   0.705 eV per atom
Raw total energy   -2.354 eV/atom